The following is a PBE-GGA calculation of a relaxed NbPS2N crystal, from Alexandria.

The uncorrected formation energy is 0.689 eV per atom. The value obtained for the energy above the most stable polymorph in this dataset is 1.31 eV per formula unit. The total magnetization comes out at 0.00 Bohr magnetons per cell.

Cell lengths 4.131, 4.131, 3.962 Å; angles 90.00, 90.00, 90.00 degrees
Sites, in units of the cell vectors:
Nb (0.000, 0.000, 0.000)
P (0.500, 0.500, 0.000)
S (0.000, 0.500, 0.500)
S (0.500, 0.000, 0.500)
N (0.500, 0.500, 0.500)

The following is a PBE-GGA calculation of a relaxed Cu4Pd15Pb crystal, from Alexandria.

The total magnetization comes out at 0.00 Bohr magnetons per cell. As for the formation energy: -90 meV per atom.

Cell lengths 3.938, 3.938, 19.604 Å; angles 90.00, 90.00, 90.00 degrees
Sites, in units of the cell vectors:
Cu (0.000, 0.000, 0.098)
Cu (0.000, 0.000, 0.292)
Cu (0.000, 0.000, 0.708)
Cu (0.000, 0.000, 0.902)
Pd (0.000, 0.500, 0.000)
Pd (0.000, 0.500, 0.194)
Pd (0.000, 0.500, 0.389)
Pd (0.000, 0.500, 0.611)
Pd (0.000, 0.500, 0.806)
Pd (0.500, 0.000, 0.000)
Pd (0.500, 0.000, 0.194)
Pd (0.500, 0.000, 0.389)
Pd (0.500, 0.000, 0.611)
Pd (0.500, 0.000, 0.806)
Pd (0.500, 0.500, 0.097)
Pd (0.500, 0.500, 0.292)
Pd (0.500, 0.500, 0.500)
Pd (0.500, 0.500, 0.708)
Pd (0.500, 0.500, 0.903)
Pb (0.000, 0.000, 0.500)

The following is a PBE-GGA calculation of a relaxed RhBr2 crystal, from Alexandria.

The uncorrected formation energy is 0.196 eV per atom. The total magnetization comes out at 5.96 Bohr magnetons per cell.

Cell lengths 3.709, 3.709, 13.788 Å; angles 90.00, 90.00, 120.00 degrees
Sites, in units of the cell vectors:
Rh (0.000, 0.000, 0.250)
Rh (0.000, 0.000, 0.750)
Br (0.333, 0.667, 0.129)
Br (0.333, 0.667, 0.371)
Br (0.667, 0.333, 0.629)
Br (0.667, 0.333, 0.871)

The following is a PBE-GGA calculation of a relaxed LiPrEuSb crystal, from Alexandria.

The uncorrected formation energy is -0.515 eV per atom. The total magnetization comes out at 7.81 Bohr magnetons per cell.

Cell lengths 5.439, 5.439, 5.439 Å; angles 60.00, 60.00, 60.00 degrees
Sites, in units of the cell vectors:
Li (0.000, 0.000, 0.000)
Pr (0.250, 0.250, 0.250)
Eu (0.750, 0.750, 0.750)
Sb (0.500, 0.500, 0.500)

The following is a PBE-GGA calculation of a relaxed RbPtCl5 crystal, from Alexandria.

The uncorrected formation energy is -0.818 eV per atom. The total magnetization comes out at 0.98 Bohr magnetons per cell.

Cell lengths 7.295, 7.295, 10.014 Å; angles 109.99, 109.99, 58.86 degrees
Sites, in units of the cell vectors:
Rb (0.001, 0.999, 0.750)
Rb (0.999, 0.001, 0.250)
Pt (0.500, 0.500, 0.000)
Pt (0.500, 0.500, 0.500)
Cl (0.128, 0.595, 0.433)
Cl (0.131, 0.585, 0.928)
Cl (0.405, 0.872, 0.067)
Cl (0.415, 0.869, 0.572)
Cl (0.494, 0.506, 0.250)
Cl (0.506, 0.494, 0.750)
Cl (0.585, 0.131, 0.428)
Cl (0.595, 0.128, 0.933)
Cl (0.869, 0.415, 0.072)
Cl (0.872, 0.405, 0.567)

The following is a PBE-GGA calculation of a relaxed Al2BrN crystal, from Alexandria.

The uncorrected formation energy is 0.892 eV per atom. The value obtained for the energy above the most stable polymorph in this dataset is 4.52 eV per formula unit. The total magnetization comes out at 0.00 Bohr magnetons per cell.

Cell lengths 4.398, 4.398, 4.398 Å; angles 60.00, 60.00, 60.00 degrees
Sites, in units of the cell vectors:
Al (0.250, 0.250, 0.250)
Al (0.750, 0.750, 0.750)
Br (0.000, 0.000, 0.000)
N (0.500, 0.500, 0.500)

The following is a PBE-GGA calculation of a relaxed NaTi2Bi crystal, from Alexandria.

The total magnetization comes out at 0.00 Bohr magnetons per cell. As for the formation energy: 612 meV per atom.

Cell lengths 6.339, 6.339, 6.339 Å; angles 101.82, 101.82, 126.19 degrees
Sites, in units of the cell vectors:
Na (0.000, 0.000, 0.000)
Na (0.750, 0.250, 0.500)
Ti (0.140, 0.625, 0.015)
Ti (0.375, 0.390, 0.515)
Ti (0.610, 0.125, 0.985)
Ti (0.875, 0.860, 0.485)
Bi (0.250, 0.750, 0.500)
Bi (0.500, 0.500, 0.000)

The following is a PBE-GGA calculation of a relaxed Be3ZnIn crystal, from Alexandria.

The value obtained for the energy above the most stable polymorph in this dataset is 0.00 eV per formula unit. The total magnetization comes out at 0.00 Bohr magnetons per cell. As for the formation energy: 741 meV per atom.

Cell lengths 4.269, 4.269, 4.269 Å; angles 90.00, 90.00, 90.00 degrees
Sites, in units of the cell vectors:
Be (0.000, 0.000, 0.500)
Be (0.000, 0.500, 0.000)
Be (0.500, 0.000, 0.000)
Zn (0.000, 0.000, 0.000)
In (0.500, 0.500, 0.500)